--- a ---
Compound: K2YF
Source: Alexandria via LeMat-Bulk
Functional: PBE-GGA
Structure: optimized geometry

It has space group I-42d (No. 122), with a = 7.881 Å, b = 7.881 Å, c = 10.567 Å, α = 90.00°, β = 90.00° and γ = 90.00°. The inequivalent atoms are K at (0.075, 0.250, 0.125), Y at (0.000, 0.000, 0.500) and F at (0.000, 0.000, 0.000).

---

--- b ---
Compound: K2YF
Source: Alexandria via LeMat-Bulk
Functional: PBE-GGA
Structure: optimized geometry

It has space group Fm-3m (No. 225), with a = 8.896 Å, b = 8.896 Å, c = 8.896 Å, α = 90.00°, β = 90.00° and γ = 90.00°. The inequivalent atoms are K at (0.250, 0.250, 0.250), Y at (0.000, 0.000, 0.000) and F at (0.000, 0.000, 0.500).

---

The data favor a; the next most stable structure lies 0.707 eV/atom above it.

---

--- a ---
Compound: KYF3
Source: Alexandria via LeMat-Bulk
Functional: PBE-GGA
Structure: optimized geometry

It has space group Pm-3m (No. 221), with a = 4.599 Å, b = 4.599 Å, c = 4.599 Å, α = 90.00°, β = 90.00° and γ = 90.00°. The inequivalent atoms are K at (0.000, 0.000, 0.000), Y at (0.500, 0.500, 0.500) and F at (0.000, 0.000, 0.500).

---

--- b ---
Compound: KYF3
Source: Alexandria via LeMat-Bulk
Functional: PBE-GGA
Structure: optimized geometry

It has space group Pm-3m (No. 221), with a = 4.593 Å, b = 4.593 Å, c = 4.593 Å, α = 90.00°, β = 90.00° and γ = 90.00°. The inequivalent atoms are K at (0.000, 0.000, 0.000), Y at (0.500, 0.500, 0.500) and F at (0.000, 0.500, 0.500).

---

The data favor b; the next most stable structure lies 1.004 eV/atom above it.